1.
! HoTa2BC4 PBE optimized geometry; values from VASP
! ΔH_f (0 K)	-298	meV per atom
! final energy	-0.682	Ry per atom
! space group	No. 63
&SYSTEM
  ibrav = 0, nat = 16, ntyp = 4
/
ATOMIC_SPECIES
Ho 164.93 Ho.upf
Ta 180.95 Ta.upf
B 10.81 B.upf
C 12.01 C.upf
CELL_PARAMETERS angstrom
1.577 -5.339 0.000
1.577 5.339 0.000
0.000 0.000 10.507
ATOMIC_POSITIONS angstrom
Ho 1.577 4.320 7.880
Ho 1.577 -4.320 2.627
Ta 1.577 1.430 5.767
Ta 1.577 1.430 9.993
Ta 1.577 -1.430 0.514
Ta 1.577 -1.430 4.740
B 1.577 3.510 2.627
B 1.577 -3.510 7.880
C 0.000 0.000 0.000
C 0.000 0.000 5.253
C 1.577 2.515 1.314
C 1.577 2.515 3.939
C 1.577 0.866 7.880
C 1.577 -0.866 2.627
C 1.577 -2.515 6.568
C 1.577 -2.515 9.192

2.
! HoTcBC PBE optimized geometry; values from VASP
! ΔH_f (0 K)	-317	meV per atom
! final energy	-0.590	Ry per atom
! space group	No. 129
&SYSTEM
  ibrav = 0, nat = 8, ntyp = 4
/
ATOMIC_SPECIES
Ho 164.93 Ho.upf
Tc 98.00 Tc.upf
B 10.81 B.upf
C 12.01 C.upf
CELL_PARAMETERS angstrom
3.600 0.000 0.000
0.000 3.600 0.000
0.000 0.000 8.257
ATOMIC_POSITIONS angstrom
Ho 0.900 0.900 1.280
Ho 2.700 2.700 6.978
Tc 0.900 2.700 4.129
Tc 2.700 0.900 4.129
B 0.900 0.900 5.660
B 2.700 2.700 2.597
C 0.900 0.900 7.143
C 2.700 2.700 1.114

3.
! Ho2Tc2B2C PBE optimized geometry; values from VASP
! ΔH_f (0 K)	-425	meV per atom
! final energy	-0.582	Ry per atom
! space group	No. 12
&SYSTEM
  ibrav = 0, nat = 7, ntyp = 4
/
ATOMIC_SPECIES
Ho 164.93 Ho.upf
Tc 98.00 Tc.upf
B 10.81 B.upf
C 12.01 C.upf
CELL_PARAMETERS angstrom
5.459 -1.760 0.000
5.459 1.760 0.000
-4.010 0.000 5.361
ATOMIC_POSITIONS angstrom
Ho -0.531 0.000 1.741
Ho 7.438 0.000 3.620
Tc -0.417 0.000 4.841
Tc 7.324 0.000 0.519
B 2.646 0.000 1.542
B 4.261 0.000 3.818
C 5.459 0.000 0.000

4.
! B2CI PBE optimized geometry; values from VASP
! final energy	-0.216	Ry per atom
! space group	No. 225
&SYSTEM
  ibrav = 0, nat = 4, ntyp = 3
/
ATOMIC_SPECIES
B 10.81 B.upf
C 12.01 C.upf
I 126.90 I.upf
CELL_PARAMETERS angstrom
0.000 2.890 2.890
2.890 0.000 2.890
2.890 2.890 0.000
ATOMIC_POSITIONS angstrom
B 1.445 1.445 1.445
B 4.335 4.335 4.335
C 0.000 0.000 0.000
I 2.890 2.890 2.890

5.
! B3CI PBE optimized geometry; values from VASP
! final energy	-0.169	Ry per atom
! space group	No. 221
&SYSTEM
  ibrav = 0, nat = 5, ntyp = 3
/
ATOMIC_SPECIES
B 10.81 B.upf
C 12.01 C.upf
I 126.90 I.upf
CELL_PARAMETERS angstrom
4.361 0.000 0.000
0.000 4.361 0.000
0.000 0.000 4.361
ATOMIC_POSITIONS angstrom
B 0.000 0.000 2.180
B 0.000 2.180 0.000
B 2.180 0.000 0.000
C 2.180 2.180 2.180
I 0.000 0.000 0.000

6.
! B3CI PBE optimized geometry; values from VASP
! final energy	-0.290	Ry per atom
! space group	No. 221
&SYSTEM
  ibrav = 0, nat = 5, ntyp = 3
/
ATOMIC_SPECIES
B 10.81 B.upf
C 12.01 C.upf
I 126.90 I.upf
CELL_PARAMETERS angstrom
3.768 0.000 0.000
0.000 3.768 0.000
0.000 0.000 3.768
ATOMIC_POSITIONS angstrom
B 0.000 0.000 1.884
B 0.000 1.884 0.000
B 1.884 0.000 0.000
C 0.000 0.000 0.000
I 1.884 1.884 1.884

7.
! B2CI PBE optimized geometry; values from VASP
! final energy	-0.378	Ry per atom
! space group	No. 122
&SYSTEM
  ibrav = 0, nat = 8, ntyp = 3
/
ATOMIC_SPECIES
B 10.81 B.upf
C 12.01 C.upf
I 126.90 I.upf
CELL_PARAMETERS angstrom
-2.448 2.448 4.008
2.448 -2.448 4.008
2.448 2.448 -4.008
ATOMIC_POSITIONS angstrom
B 0.482 1.224 1.002
B -1.224 1.966 3.006
B -0.482 3.672 1.002
B 1.224 2.930 3.006
C 0.000 0.000 0.000
C 0.000 2.448 2.004
I 2.448 0.000 2.004
I 0.000 0.000 4.008

8.
! BCI3 PBE optimized geometry; values from VASP
! final energy	-0.163	Ry per atom
! space group	No. 221
&SYSTEM
  ibrav = 0, nat = 5, ntyp = 3
/
ATOMIC_SPECIES
B 10.81 B.upf
C 12.01 C.upf
I 126.90 I.upf
CELL_PARAMETERS angstrom
5.077 0.000 0.000
0.000 5.077 0.000
0.000 0.000 5.077
ATOMIC_POSITIONS angstrom
B 0.000 0.000 0.000
C 2.538 2.538 2.538
I 0.000 2.538 2.538
I 2.538 0.000 2.538
I 2.538 2.538 0.000